# GGA-PBE LaFe2H7, relaxed
# * V: 153.2 Å³/cell
# * raw total energy: -94.3 eV/cell
data_LaFe2H7
_chemical_formula_sum 'La2 Fe4 H14'
_cell_length_a 4.9878
_cell_length_b 8.6007
_cell_length_c 3.5724
_cell_angle_alpha 90.00
_cell_angle_beta 90.00
_cell_angle_gamma 90.00
_space_group_name_H-M_alt 'C m m m'
_space_group_IT_number 65
_space_group_name_Hall '-C 2 2'
loop_
_atom_site_label
_atom_site_fract_x
_atom_site_fract_y
_atom_site_fract_z
La1 0.0000 0.0000 0.0000
Fe1 0.0000 0.3096 0.5000
H1 0.0000 0.3140 0.0000
H2 0.0000 0.5000 0.5000
H3 0.1826 0.1492 0.5000